1.
Computed, not measured: an optimized crystal structure of B at the PBE level of DFT.

Output
Energy above the lowest structure with this stoichiometry (eV per atom): 0.252
V (Å³ per cell): 30.4
DOS(E_F) (states/eV per cell): 0.5
Energy of formation from the pure elements (eV/atom): 0.2519

Unit cell a=2.8275 b=2.8275 c=4.1051 alpha=103.38 beta=103.38 gamma=98.11
Sites, in units of the cell vectors:
B (0.2098, 0.7902, 0.0000)
B (0.3813, 0.3813, 0.2864)
B (0.6187, 0.6187, 0.7136)
B (0.7902, 0.2098, 0.0000)

---

2.
Computed, not measured: an optimized crystal structure of SrTlS3 at the PBE level of DFT.

Output
E_form (uncorrected) (kJ per mole of atoms): -9
Energy above the lowest structure with this stoichiometry (eV per atom): 0.322
V (Å³ per cell): 182.6
DOS(E_F) (states/eV per cell): 2.5

Unit cell a=5.6734 b=5.6734 c=5.6734 alpha=90.00 beta=90.00 gamma=90.00
Sites, in units of the cell vectors:
Sr (0.0000, 0.0000, 0.0000)
Tl (0.5000, 0.5000, 0.5000)
S (0.0000, 0.0000, 0.5000)
S (0.0000, 0.5000, 0.0000)
S (0.5000, 0.0000, 0.0000)

---

3.
Computed, not measured: an optimized crystal structure of KRb2Au2 at the PBE level of DFT.

Output
Energy above the lowest structure with this stoichiometry (eV per atom): 0.000
V (Å³ per cell): 199.1
DOS(E_F) (states/eV per cell): 1.8
Energy of formation from the pure elements (eV/atom): -0.2582

Unit cell a=6.9021 b=6.9021 c=6.9021 alpha=136.93 beta=113.38 gamma=82.69
Sites, in units of the cell vectors:
K (0.0000, 0.0000, 0.0000)
Rb (0.2974, 0.7974, 0.5000)
Rb (0.7026, 0.2026, 0.5000)
Au (0.3078, 0.5000, 0.8078)
Au (0.6922, 0.5000, 0.1922)

---

4.
Computed, not measured: an optimized crystal structure of Sr2TmAl3Au12 at the PBE level of DFT.

Output
V (Å³ per cell): 453.2
DOS(E_F) (states/eV per cell): 5.4
Energy of formation from the pure elements (eV/atom): -0.2615

Unit cell a=8.3540 b=8.3540 c=8.3540 alpha=64.53 beta=64.53 gamma=64.53
Sites, in units of the cell vectors:
Sr (0.1017, 0.1017, 0.1017)
Sr (0.8983, 0.8983, 0.8983)
Tm (0.5000, 0.5000, 0.5000)
Al (0.0000, 0.5000, 0.5000)
Al (0.5000, 0.0000, 0.5000)
Al (0.5000, 0.5000, 0.0000)
Au (0.1106, 0.6368, 0.6368)
Au (0.1620, 0.1620, 0.6278)
Au (0.1620, 0.6278, 0.1620)
Au (0.3632, 0.3632, 0.8894)
Au (0.3632, 0.8894, 0.3632)
Au (0.3722, 0.8380, 0.8380)
Au (0.6278, 0.1620, 0.1620)
Au (0.6368, 0.1106, 0.6368)
Au (0.6368, 0.6368, 0.1106)
Au (0.8380, 0.3722, 0.8380)
Au (0.8380, 0.8380, 0.3722)
Au (0.8894, 0.3632, 0.3632)

---

5.
Computed, not measured: an optimized crystal structure of NdHoSe2 at the PBE level of DFT.

Output
E_form (uncorrected) (kJ per mole of atoms): -172
Energy above the lowest structure with this stoichiometry (eV per atom): 0.000
V (Å³ per cell): 100.6
DOS(E_F) (states/eV per cell): 1.9

Unit cell a=4.1045 b=4.1045 c=7.2878 alpha=106.44 beta=106.44 gamma=60.16
Sites, in units of the cell vectors:
Nd (0.0000, 0.0000, 0.0000)
Ho (0.5000, 0.5000, 0.5000)
Se (0.2445, 0.2445, 0.7333)
Se (0.7555, 0.7555, 0.2667)

---

6.
Computed, not measured: an optimized crystal structure of Pr2ErThBi4 at the PBE level of DFT.

Output
V (Å³ per cell): 272.7
DOS(E_F) (states/eV per cell): 1.8
Energy of formation from the pure elements (eV/atom): -0.8353

Unit cell a=7.9190 b=4.5911 c=7.9554 alpha=90.00 beta=109.48 gamma=90.00
Sites, in units of the cell vectors:
Pr (0.0000, 0.0000, 0.0000)
Pr (0.5000, 0.5000, 0.0000)
Er (0.0000, 0.5000, 0.5000)
Th (0.5000, 0.0000, 0.5000)
Bi (0.2423, 0.0000, 0.7401)
Bi (0.2472, 0.5000, 0.2559)
Bi (0.7528, 0.5000, 0.7441)
Bi (0.7577, 0.0000, 0.2599)

---

7.
Computed, not measured: an optimized crystal structure of TiZnTc at the PBE level of DFT.

Output
Energy above the lowest structure with this stoichiometry (eV per atom): 0.027
V (Å³ per cell): 90.7
DOS(E_F) (states/eV per cell): 5.5
Energy of formation from the pure elements (eV/atom): -0.2139

Unit cell a=2.7911 b=4.3609 c=7.4595 alpha=90.00 beta=92.28 gamma=90.00
Sites, in units of the cell vectors:
Ti (0.0211, 0.2500, 0.2458)
Ti (0.9789, 0.7500, 0.7542)
Zn (0.4624, 0.7500, 0.4094)
Zn (0.5376, 0.2500, 0.5906)
Tc (0.3046, 0.2500, 0.9253)
Tc (0.6954, 0.7500, 0.0747)

---

8.
Computed, not measured: an optimized crystal structure of FeIrBr2 at the PBE level of DFT.

Output
E_form (uncorrected) (kJ per mole of atoms): 112
Energy above the lowest structure with this stoichiometry (eV per atom): 1.042
V (Å³ per cell): 74.4
DOS(E_F) (states/eV per cell): 4.6

Unit cell a=4.7203 b=4.7203 c=4.7203 alpha=60.00 beta=60.00 gamma=60.00
Sites, in units of the cell vectors:
Fe (0.0000, 0.0000, 0.0000)
Ir (0.2500, 0.2500, 0.2500)
Br (0.5000, 0.5000, 0.5000)
Br (0.7500, 0.7500, 0.7500)

---

9.
Computed, not measured: an optimized crystal structure of LiTbBiPt at the PBE level of DFT.

Output
V (Å³ per cell): 84.8
DOS(E_F) (states/eV per cell): 2.4
Energy of formation from the pure elements (eV/atom): -0.6542

Unit cell a=4.9314 b=4.9314 c=4.9314 alpha=60.00 beta=60.00 gamma=60.00
Sites, in units of the cell vectors:
Li (0.0000, 0.0000, 0.0000)
Tb (0.2500, 0.2500, 0.2500)
Bi (0.7500, 0.7500, 0.7500)
Pt (0.5000, 0.5000, 0.5000)

---

10.
Computed, not measured: an optimized crystal structure of NpScAs2 at the PBE level of DFT.

Output
Energy above the lowest structure with this stoichiometry (eV per atom): 0.000
V (Å³ per cell): 90.0
DOS(E_F) (states/eV per cell): 8.4
Energy of formation from the pure elements (eV/atom): -1.0240

Unit cell a=6.9093 b=6.9093 c=6.9093 alpha=33.61 beta=33.61 gamma=33.61
Sites, in units of the cell vectors:
Np (0.0000, 0.0000, 0.0000)
Sc (0.5000, 0.5000, 0.5000)
As (0.2456, 0.2456, 0.2456)
As (0.7544, 0.7544, 0.7544)

---

11.
Computed, not measured: an optimized crystal structure of AlP2Se at the PBE level of DFT.

Output
E_form (uncorrected) (kJ per mole of atoms): 22
Energy above the lowest structure with this stoichiometry (eV per atom): 0.387
V (Å³ per cell): 93.1
DOS(E_F) (states/eV per cell): 2.9

Unit cell a=3.5744 b=3.5744 c=8.9297 alpha=90.00 beta=90.00 gamma=125.28
Sites, in units of the cell vectors:
Al (0.0000, 0.0000, 0.0000)
P (0.0000, 0.0000, 0.3928)
P (0.5000, 0.5000, 0.2305)
Se (0.5000, 0.5000, 0.8089)

---

12.
Computed, not measured: an optimized crystal structure of Ba2YZr at the PBE level of DFT.

Output
Energy above the lowest structure with this stoichiometry (eV per atom): 0.245
V (Å³ per cell): 152.7
DOS(E_F) (states/eV per cell): 6.3
Energy of formation from the pure elements (eV/atom): 0.5608

Unit cell a=3.6772 b=3.6772 c=11.2905 alpha=90.00 beta=90.00 gamma=90.18
Sites, in units of the cell vectors:
Ba (0.0000, 0.0000, 0.2315)
Ba (0.0000, 0.0000, 0.7685)
Y (0.5000, 0.5000, 0.5000)
Zr (0.5000, 0.5000, 0.0000)

---

13.
Computed, not measured: an optimized crystal structure of K2PrSnTe4 at the PBE level of DFT.

Output
E_form (uncorrected) (kJ per mole of atoms): -93
V (Å³ per cell): 301.6
DOS(E_F) (states/eV per cell): 3.4

Unit cell a=8.0285 b=4.5336 c=8.6812 alpha=90.00 beta=107.36 gamma=90.00
Sites, in units of the cell vectors:
K (0.0000, 0.0000, 0.0000)
K (0.5000, 0.5000, 0.0000)
Pr (0.0000, 0.5000, 0.5000)
Sn (0.5000, 0.0000, 0.5000)
Te (0.2450, 0.0000, 0.7124)
Te (0.2708, 0.5000, 0.2924)
Te (0.7292, 0.5000, 0.7076)
Te (0.7550, 0.0000, 0.2876)

---

14.
Computed, not measured: an optimized crystal structure of La3Zn3Ge at the PBE level of DFT.

Output
V (Å³ per cell): 181.9
DOS(E_F) (states/eV per cell): 7.3
Energy of formation from the pure elements (eV/atom): -0.4340

Unit cell a=10.3951 b=10.3951 c=10.3951 alpha=156.76 beta=155.74 gamma=33.84
Sites, in units of the cell vectors:
La (0.0000, 0.0000, 0.0000)
La (0.3721, 0.3721, 0.0000)
La (0.6948, 0.1948, 0.5000)
Zn (0.1232, 0.6232, 0.5000)
Zn (0.5523, 0.5523, 0.0000)
Zn (0.8262, 0.8262, 0.0000)
Ge (0.2508, 0.7508, 0.5000)

---

15.
Computed, not measured: an optimized crystal structure of NaCaVS2 at the PBE level of DFT.

Output
E_form (uncorrected) (kJ per mole of atoms): 55
V (Å³ per cell): 133.3
DOS(E_F) (states/eV per cell): 10.3

Unit cell a=5.1651 b=5.1651 c=4.9971 alpha=90.00 beta=90.00 gamma=90.00
Sites, in units of the cell vectors:
Na (0.0000, 0.0000, 0.0000)
Ca (0.0000, 0.0000, 0.5000)
V (0.5000, 0.5000, 0.0000)
S (0.0000, 0.5000, 0.5000)
S (0.5000, 0.0000, 0.5000)

---

16.
Computed, not measured: an optimized crystal structure of BaCrRe2 at the PBE level of DFT.

Output
Energy above the lowest structure with this stoichiometry (eV per atom): 0.798
V (Å³ per cell): 79.1
DOS(E_F) (states/eV per cell): 5.2
Energy of formation from the pure elements (eV/atom): 1.5861

Unit cell a=5.8111 b=5.8111 c=2.8459 alpha=90.00 beta=90.00 gamma=124.56
Sites, in units of the cell vectors:
Ba (0.0000, 0.0000, 0.0000)
Cr (0.5000, 0.5000, 0.0000)
Re (0.0000, 0.5000, 0.5000)
Re (0.5000, 0.0000, 0.5000)

---

17.
Computed, not measured: an optimized crystal structure of PmNiGe2 at the PBE level of DFT.

Output
Energy above the lowest structure with this stoichiometry (eV per atom): 0.427
V (Å³ per cell): 75.3
DOS(E_F) (states/eV per cell): 2.7
Energy of formation from the pure elements (eV/atom): -0.3193

Unit cell a=4.1934 b=4.1934 c=4.2797 alpha=90.00 beta=90.00 gamma=90.00
Sites, in units of the cell vectors:
Pm (0.0000, 0.0000, 0.0000)
Ni (0.5000, 0.5000, 0.0000)
Ge (0.0000, 0.5000, 0.5000)
Ge (0.5000, 0.0000, 0.5000)

---

18.
Computed, not measured: an optimized crystal structure of KPt at the PBE level of DFT.

Output
V (Å³ per cell): 178.9
DOS(E_F) (states/eV per cell): 5.1
Energy of formation from the pure elements (eV/atom): 0.1235

Unit cell a=6.7381 b=6.7381 c=9.9352 alpha=110.27 beta=110.27 gamma=25.10
Sites, in units of the cell vectors:
K (0.0000, 0.0000, 0.0000)
K (0.3567, 0.3567, 0.3860)
K (0.6299, 0.6299, 0.4744)
Pt (0.0168, 0.0168, 0.6965)
Pt (0.3470, 0.3470, 0.7080)
Pt (0.7027, 0.7027, 0.7854)

---

19.
Computed, not measured: an optimized crystal structure of Tb6PmEr8 at the PBE level of DFT.

Output
V (Å³ per cell): 478.5
DOS(E_F) (states/eV per cell): 21.9
Energy of formation from the pure elements (eV/atom): 0.1315

Unit cell a=8.5804 b=8.5804 c=8.5804 alpha=63.21 beta=63.21 gamma=63.21
Sites, in units of the cell vectors:
Tb (0.0385, 0.7273, 0.6094)
Tb (0.2727, 0.3906, 0.9615)
Tb (0.3906, 0.9615, 0.2727)
Tb (0.6094, 0.0385, 0.7273)
Tb (0.7273, 0.6094, 0.0385)
Tb (0.9615, 0.2727, 0.3906)
Pm (0.5000, 0.5000, 0.5000)
Er (0.0764, 0.0764, 0.0764)
Er (0.2204, 0.2433, 0.6107)
Er (0.2433, 0.6107, 0.2204)
Er (0.3893, 0.7796, 0.7567)
Er (0.6107, 0.2204, 0.2433)
Er (0.7567, 0.3893, 0.7796)
Er (0.7796, 0.7567, 0.3893)
Er (0.9236, 0.9236, 0.9236)

---

20.
Computed, not measured: an optimized crystal structure of YTl2BiH at the PBE level of DFT.

Output
E_tot (eV/atom): -3.82
V (Å³ per cell): 119.7
DOS(E_F) (states/eV per cell): 1.4

Unit cell a=5.1322 b=5.1322 c=4.5429 alpha=90.00 beta=90.00 gamma=90.00
Sites, in units of the cell vectors:
Y (0.0000, 0.0000, 0.0000)
Tl (0.0000, 0.5000, 0.5000)
Tl (0.5000, 0.0000, 0.5000)
Bi (0.5000, 0.5000, 0.0000)
H (0.0000, 0.0000, 0.5000)

---

21.
Computed, not measured: an optimized crystal structure of Sr2Bi3Pd4Pt at the PBE level of DFT.

Output
V (Å³ per cell): 244.3
DOS(E_F) (states/eV per cell): 5.3
Energy of formation from the pure elements (eV/atom): -0.5214

Unit cell a=4.6327 b=4.6327 c=11.3805 alpha=90.00 beta=90.00 gamma=90.00
Sites, in units of the cell vectors:
Sr (0.0000, 0.5000, 0.2362)
Sr (0.5000, 0.0000, 0.7638)
Bi (0.0000, 0.0000, 0.0000)
Bi (0.0000, 0.5000, 0.6297)
Bi (0.5000, 0.0000, 0.3703)
Pd (0.0000, 0.0000, 0.5000)
Pd (0.0000, 0.5000, 0.8662)
Pd (0.5000, 0.0000, 0.1338)
Pd (0.5000, 0.5000, 0.5000)
Pt (0.5000, 0.5000, 0.0000)

---

22.
Computed, not measured: an optimized crystal structure of BaFeRu at the PBE level of DFT.

Output
Energy above the lowest structure with this stoichiometry (eV per atom): 0.707
V (Å³ per cell): 73.4
DOS(E_F) (states/eV per cell): 2.5
Energy of formation from the pure elements (eV/atom): 1.0390

Unit cell a=4.6990 b=4.6990 c=4.6990 alpha=60.00 beta=60.00 gamma=60.00
Sites, in units of the cell vectors:
Ba (0.0000, 0.0000, 0.0000)
Fe (0.5000, 0.5000, 0.5000)
Ru (0.2500, 0.2500, 0.2500)

---

23.
Computed, not measured: an optimized crystal structure of BaCuBr5 at the PBE level of DFT.

Output
E_form (uncorrected) (kJ per mole of atoms): -96
V (Å³ per cell): 442.4
DOS(E_F) (states/eV per cell): 0.2

Unit cell a=6.7517 b=6.7517 c=11.9279 alpha=106.97 beta=106.97 gamma=59.76
Sites, in units of the cell vectors:
Ba (0.1497, 0.8503, 0.7500)
Ba (0.8503, 0.1497, 0.2500)
Cu (0.0000, 0.5000, 0.0000)
Cu (0.5000, 0.0000, 0.5000)
Br (0.1207, 0.2029, 0.5423)
Br (0.2029, 0.1207, 0.0423)
Br (0.2677, 0.3970, 0.8758)
Br (0.3407, 0.6593, 0.2500)
Br (0.3970, 0.2677, 0.3758)
Br (0.6030, 0.7323, 0.6242)
Br (0.6593, 0.3407, 0.7500)
Br (0.7323, 0.6030, 0.1242)
Br (0.7971, 0.8793, 0.9577)
Br (0.8793, 0.7971, 0.4577)

---

24.
Computed, not measured: an optimized crystal structure of Ba3IrF at the PBE level of DFT.

Output
E_form (uncorrected) (kJ per mole of atoms): -79
Energy above the lowest structure with this stoichiometry (eV per atom): 0.000
V (Å³ per cell): 152.2
DOS(E_F) (states/eV per cell): 5.0

Unit cell a=5.3389 b=5.3389 c=5.3389 alpha=90.00 beta=90.00 gamma=90.00
Sites, in units of the cell vectors:
Ba (0.0000, 0.0000, 0.5000)
Ba (0.0000, 0.5000, 0.0000)
Ba (0.5000, 0.0000, 0.0000)
Ir (0.5000, 0.5000, 0.5000)
F (0.0000, 0.0000, 0.0000)

---

25.
Computed, not measured: an optimized crystal structure of BeRuPt at the PBE level of DFT.

Output
Energy above the lowest structure with this stoichiometry (eV per atom): 0.167
V (Å³ per cell): 38.8
DOS(E_F) (states/eV per cell): 2.2
Energy of formation from the pure elements (eV/atom): -0.1157

Unit cell a=2.7118 b=2.7118 c=6.0953 alpha=90.00 beta=90.00 gamma=120.00
Sites, in units of the cell vectors:
Be (0.0000, 0.0000, 0.0000)
Ru (0.6667, 0.3333, 0.6945)
Pt (0.3333, 0.6667, 0.3051)

---

26.
Computed, not measured: an optimized crystal structure of CeNd5Bi5 at the PBE level of DFT.

Output
V (Å³ per cell): 402.7
DOS(E_F) (states/eV per cell): 12.4
Energy of formation from the pure elements (eV/atom): -0.7402

Unit cell a=7.8953 b=7.8953 c=9.1154 alpha=106.83 beta=106.83 gamma=48.36
Sites, in units of the cell vectors:
Ce (0.0000, 0.0000, 0.0000)
Nd (0.0000, 0.0000, 0.5000)
Nd (0.3327, 0.3327, 0.6655)
Nd (0.3350, 0.3350, 0.1696)
Nd (0.6650, 0.6650, 0.8304)
Nd (0.6673, 0.6673, 0.3345)
Bi (0.1660, 0.1660, 0.3336)
Bi (0.1678, 0.1678, 0.8336)
Bi (0.5000, 0.5000, 0.0000)
Bi (0.8322, 0.8322, 0.1664)
Bi (0.8340, 0.8340, 0.6664)